## Na2AcSO6 (GGA-PBE)

Data for Na2AcSO6 after structural relaxation.

Results
ρ in g cm⁻³: 3.7
Formation energy without anion corrections in eV/f.u.: -15.35
Calculated total energy in eV/atom: -5.5970
Crystal system: trigonal

abc: 6.139 5.807 5.807
angles: 120.00 90.00 90.00
Positions (direct):
1 Na 0.027 0.333 0.667
2 Na 0.973 0.667 0.333
3 Ac 0.500 0.000 0.000
4 S 0.000 0.000 0.000
5 O 0.840 0.137 0.273
6 O 0.840 0.137 0.863
7 O 0.840 0.727 0.863
8 O 0.160 0.863 0.137
9 O 0.160 0.273 0.137
10 O 0.160 0.863 0.727